Material: SiHg2W
Method: DFT, PBE
State: optimized geometry

Structure (POSCAR):
```
SiHg2W
1.0
-2.6068 -0.1636 -1.9945
0.7431 -3.1203 -0.7153
-3.9802 -2.1814 5.3811
Hg Si W
2 1 1
Direct
0.0000 0.0000 0.9767
0.5000 0.5000 0.2704
0.0000 0.0000 0.5603
0.5000 0.5000 0.6927
```

The formation energy from raw total energies comes out at 439 meV/atom. Its space-group type is P4mm, No. 99. The calculated total energy is -17.22 eV per formula unit.

***

Material: SiHg2W
Method: DFT, PBE
State: optimized geometry

Structure (POSCAR):
```
SiHg2W
1.0
-4.4794 -0.8224 -3.2856
-5.0390 -1.2655 2.1316
4.1568 3.7042 0.7324
Hg Si W
2 1 1
Direct
0.0000 0.0000 0.0000
0.5000 0.5000 0.0000
0.2500 0.7500 0.5000
0.7500 0.2500 0.5000
```

The formation energy from raw total energies comes out at 803 meV/atom. Its space-group type is I4/mmm, No. 139. The calculated total energy is -15.77 eV per formula unit.

***

Material: SiHgW2
Method: DFT, PBE
State: optimized geometry

Structure (POSCAR):
```
SiHgW2
1.0
3.1617 0.0000 0.0000
0.0000 3.1617 0.0000
0.0000 0.0000 6.9733
Hg Si W
1 1 2
Direct
0.0000 0.0000 0.5015
0.5000 0.5000 0.8067
0.0000 0.0000 0.9856
0.5000 0.5000 0.2062
```

The formation energy from raw total energies comes out at 435 meV/atom. Its space-group type is P4mm, No. 99. The calculated total energy is -29.89 eV per formula unit.

***

Material: SiHgW2
Method: DFT, PBE
State: optimized geometry

Structure (POSCAR):
```
SiHgW2
1.0
-2.1837 -0.2464 2.0968
1.7366 -1.9252 1.5824
2.8260 5.4992 3.5892
Hg Si W
1 1 2
Direct
0.5000 0.5000 0.2500
0.5000 0.5000 0.7500
0.0000 0.0000 0.9462
0.0000 0.0000 0.5538
```

The formation energy from raw total energies comes out at 418 meV/atom. Its space-group type is P4/mmm, No. 123. The calculated total energy is -29.96 eV per formula unit.

***

Material: SiHgW2
Method: DFT, PBE
State: optimized geometry

Structure (POSCAR):
```
SiHgW2
1.0
4.2069 0.0000 0.0000
0.0000 3.9531 0.0000
0.0000 0.0000 3.9531
Hg Si W
1 1 2
Direct
0.5000 0.5000 0.0000
0.5000 0.0000 0.5000
0.0000 0.0000 0.0000
0.0000 0.5000 0.5000
```

The formation energy from raw total energies comes out at 816 meV/atom. Its space-group type is P4/mmm, No. 123. The calculated total energy is -28.37 eV per formula unit.

***

Material: SiHgW2
Method: DFT, PBE
State: optimized geometry

Structure (POSCAR):
```
SiHgW2
1.0
-1.4921 -1.5801 4.4607
3.9230 -0.8962 2.9032
-1.2878 3.9200 -2.7563
Hg Si W
1 1 2
Direct
0.5000 0.5000 0.0000
0.7500 0.2500 0.5000
0.0000 0.0000 0.0000
0.2500 0.7500 0.5000
```

The formation energy from raw total energies comes out at 692 meV/atom. Its space-group type is I-4m2, No. 119. The calculated total energy is -28.86 eV per formula unit.

***

Material: SiHg2W
Method: DFT, PBE
State: optimized geometry

Structure (POSCAR):
```
SiHg2W
1.0
-0.7698 -1.4694 2.4698
-1.4014 -0.3034 -2.6069
6.6290 -7.9147 -2.6426
Hg Si W
2 1 1
Direct
0.0000 0.0000 0.9935
0.0000 0.0000 0.5065
0.5000 0.5000 0.2500
0.5000 0.5000 0.7500
```

The formation energy from raw total energies comes out at 816 meV/atom. Its space-group type is Cmmm, No. 65. The calculated total energy is -15.71 eV per formula unit.

***

Material: Si2HgW2
Method: DFT, PBE
State: optimized geometry

Structure (POSCAR):
```
Si2HgW2
1.0
-2.4443 1.6614 -2.8666
1.4524 -2.6646 -2.7827
-4.2649 -3.8720 -1.5644
Si Hg W
2 1 2
Direct
0.3900 0.3900 0.2200
0.6100 0.6100 0.7800
0.0000 0.0000 0.0000
0.7500 0.2500 0.5000
0.2500 0.7500 0.5000
```

The formation energy from raw total energies comes out at 373 meV/atom. Its space-group type is I4/mmm, No. 139. The calculated total energy is -35.19 eV per formula unit.